#A
Density functional theory data (PBE-GGA) for an optimized crystal structure of LaTb6Sm3.

Summary:
Total magnetic moment, μB per cell: 0.0
Mass density, g/cm3: 7.7

Cell lengths 6.9478, 6.9478, 6.9478 Å; angles 91.54, 91.54, 91.54 degrees
With the nearest neighbours (Å) after each atom.
Positions (direct):
1 La 0.0000 0.0000 0.0000  2 Sm 2.95, 3 Tb 3.27
2 Tb 0.0000 0.3285 0.6715  1 La 3.27, 2 Sm 3.48
3 Tb 0.1750 0.8250 0.5000  3 Sm 3.24-3.51
4 Tb 0.3285 0.6715 0.0000  1 La 3.27, 2 Sm 3.48
5 Tb 0.5000 0.1750 0.8250  3 Sm 3.24-3.51
6 Tb 0.6715 0.0000 0.3285  1 La 3.27, 2 Sm 3.48
7 Tb 0.8250 0.5000 0.1750  3 Sm 3.24-3.51
8 Sm 0.2523 0.2523 0.2523  1 Sm 2.90, 1 La 2.95
9 Sm 0.5000 0.5000 0.5000  2 Sm 2.90, 3 Tb 3.24
10 Sm 0.7477 0.7477 0.7477  1 Sm 2.90, 1 La 2.95

#B
Density functional theory data (PBE-GGA) for an optimized crystal structure of LaTb6Sm3.

Summary:
Total magnetic moment, μB per cell: 0.0
Mass density, g/cm3: 7.7

Cell lengths 9.0890, 9.0890, 9.0477 Å; angles 90.00, 90.00, 116.36 degrees
With the nearest neighbours (Å) after each atom.
Positions (direct):
1 La 0.2248 0.7752 0.5000  3 Sm 3.39-3.56, 4 Tb 3.42-3.61
2 La 0.7752 0.2248 0.0000  3 Sm 3.39-3.56, 4 Tb 3.42-3.61
3 Tb 0.0296 0.3175 0.4174  3 Sm 3.32-3.71, 5 Tb 3.33-3.52
4 Tb 0.1754 0.4733 0.7547  4 Tb 3.37-3.73, 3 Sm 3.37-3.67, 1 La 3.46
5 Tb 0.2835 0.7165 0.1357  3 Tb 3.36-3.53, 2 Sm 3.40, 1 La 3.42
6 Tb 0.3175 0.0296 0.9174  3 Sm 3.32-3.71, 5 Tb 3.33-3.52
7 Tb 0.4509 0.5491 0.4007  4 Sm 3.40-3.71, 5 Tb 3.46-3.73, 1 La 3.61
8 Tb 0.4733 0.1754 0.2547  4 Tb 3.37-3.73, 3 Sm 3.37-3.67, 1 La 3.46
9 Tb 0.5267 0.8246 0.7547  4 Tb 3.37-3.73, 3 Sm 3.37-3.67, 1 La 3.46
10 Tb 0.5491 0.4509 0.9007  4 Sm 3.40-3.71, 5 Tb 3.46-3.73, 1 La 3.61
11 Tb 0.6825 0.9704 0.4174  3 Sm 3.32-3.71, 5 Tb 3.33-3.52
12 Tb 0.7165 0.2835 0.6357  3 Tb 3.36-3.53, 2 Sm 3.40, 1 La 3.42
13 Tb 0.8246 0.5267 0.2547  4 Tb 3.37-3.73, 3 Sm 3.37-3.67, 1 La 3.46
14 Tb 0.9704 0.6825 0.9174  3 Sm 3.32-3.71, 5 Tb 3.33-3.52
15 Sm 0.0519 0.9481 0.2685  1 La 3.39, 4 Sm 3.40-3.76, 5 Tb 3.45-3.77
16 Sm 0.1879 0.3130 0.0880  7 Tb 3.32-3.71, 1 Sm 3.40, 1 La 3.56
17 Sm 0.3130 0.1879 0.5880  7 Tb 3.32-3.71, 1 Sm 3.40, 1 La 3.56
18 Sm 0.6870 0.8121 0.0880  7 Tb 3.32-3.71, 1 Sm 3.40, 1 La 3.56
19 Sm 0.8121 0.6870 0.5880  7 Tb 3.32-3.71, 1 Sm 3.40, 1 La 3.56
20 Sm 0.9481 0.0519 0.7685  1 La 3.39, 4 Sm 3.40-3.76, 5 Tb 3.45-3.77

Relative to the most stable structure, the computed energies are #A 146; #B 0, all in meV per atom.

#A
Density functional theory data (PBE-GGA) for an optimized crystal structure of La7Tb12Sm.

Summary:
Total magnetic moment, μB per cell: 0.0
Mass density, g/cm3: 7.2

Cell lengths 8.8790, 8.8790, 8.8790 Å; angles 86.38, 86.38, 86.38 degrees
With the nearest neighbours (Å) after each atom.
Positions (direct):
1 La 0.0000 0.0000 0.0000  6 Tb 3.35
2 La 0.1044 0.4165 0.3381  3 La 3.42-3.66, 5 Tb 3.49-3.74
3 La 0.3381 0.1044 0.4165  3 La 3.42-3.66, 5 Tb 3.49-3.74
4 La 0.4165 0.3381 0.1044  3 La 3.42-3.66, 5 Tb 3.49-3.74
5 La 0.5835 0.6619 0.8956  3 La 3.42-3.66, 5 Tb 3.49-3.74
6 La 0.6619 0.8956 0.5835  3 La 3.42-3.66, 5 Tb 3.49-3.74
7 La 0.8956 0.5835 0.6619  3 La 3.42-3.66, 5 Tb 3.49-3.74
8 Tb 0.0037 0.8814 0.3660  5 Tb 3.27-3.66, 2 La 3.35-3.49
9 Tb 0.1186 0.6340 0.9963  5 Tb 3.27-3.66, 2 La 3.35-3.49
10 Tb 0.2248 0.3557 0.7526  4 Tb 3.28-3.66, 1 Sm 3.46, 2 La 3.55-3.64
11 Tb 0.2474 0.7752 0.6443  4 Tb 3.28-3.66, 1 Sm 3.46, 2 La 3.55-3.64
12 Tb 0.3557 0.7526 0.2248  4 Tb 3.28-3.66, 1 Sm 3.46, 2 La 3.55-3.64
13 Tb 0.3660 0.0037 0.8814  5 Tb 3.27-3.66, 2 La 3.35-3.49
14 Tb 0.6340 0.9963 0.1186  5 Tb 3.27-3.66, 2 La 3.35-3.49
15 Tb 0.6443 0.2474 0.7752  4 Tb 3.28-3.66, 1 Sm 3.46, 2 La 3.55-3.64
16 Tb 0.7526 0.2248 0.3557  4 Tb 3.28-3.66, 1 Sm 3.46, 2 La 3.55-3.64
17 Tb 0.7752 0.6443 0.2474  4 Tb 3.28-3.66, 1 Sm 3.46, 2 La 3.55-3.64
18 Tb 0.8814 0.3660 0.0037  5 Tb 3.27-3.66, 2 La 3.35-3.49
19 Tb 0.9963 0.1186 0.6340  5 Tb 3.27-3.66, 2 La 3.35-3.49
20 Sm 0.5000 0.5000 0.5000  6 Tb 3.46

#B
Density functional theory data (PBE-GGA) for an optimized crystal structure of La7Tb12Sm.

Summary:
Total magnetic moment, μB per cell: 0.0
Mass density, g/cm3: 6.8

Cell lengths 9.8835, 9.8835, 9.8835 Å; angles 109.47, 109.47, 109.47 degrees
With the nearest neighbours (Å) after each atom.
Positions (direct):
1 La 0.0000 0.0000 0.5000  6 Tb 2.85
2 La 0.0000 0.5000 0.0000  6 Tb 2.85
3 La 0.0000 0.5000 0.5000  12 Tb 4.03-4.07
4 La 0.5000 0.0000 0.0000  6 Tb 2.85
5 La 0.5000 0.0000 0.5000  12 Tb 4.03-4.07
6 La 0.5000 0.5000 0.0000  12 Tb 4.03-4.07
7 La 0.5000 0.5000 0.5000  6 Tb 2.85
8 Tb 0.0008 0.7527 0.2481  2 La 2.85
9 Tb 0.2473 0.2481 0.4954  2 La 2.85
10 Tb 0.2473 0.7519 0.9992  2 La 2.85
11 Tb 0.2481 0.0008 0.7527  2 La 2.85
12 Tb 0.2481 0.4954 0.2473  2 La 2.85
13 Tb 0.4954 0.2473 0.2481  2 La 2.85
14 Tb 0.5046 0.7527 0.7519  2 La 2.85
15 Tb 0.7519 0.5046 0.7527  2 La 2.85
16 Tb 0.7519 0.9992 0.2473  2 La 2.85
17 Tb 0.7527 0.2481 0.0008  2 La 2.85
18 Tb 0.7527 0.7519 0.5046  2 La 2.85
19 Tb 0.9992 0.2473 0.7519  2 La 2.85
20 Sm 0.0000 0.0000 0.0000  12 Tb 4.00

Relative to the most stable structure, the computed energies are #A 0; #B 375, all in meV per atom.

#A
Density functional theory data (PBE-GGA) for an optimized crystal structure of La7TbSm4.

Summary:
Total magnetic moment, μB per cell: 0.5
Mass density, g/cm3: 6.6

Cell lengths 8.8504, 8.8504, 9.5194 Å; angles 114.68, 114.68, 40.60 degrees
With the nearest neighbours (Å) after each atom.
Positions (direct):
1 La 0.0000 0.0000 0.0000  2 Tb 3.07
2 La 0.2926 0.2926 0.7807  1 Tb 3.13, 1 La 3.27, 2 Sm 3.31-3.37
3 La 0.2936 0.2936 0.1246  1 La 3.27
4 La 0.4178 0.4178 0.5650  3 La 3.46-3.76, 5 Sm 3.51-3.84, 1 Tb 3.74
5 La 0.5822 0.5822 0.4350  3 La 3.46-3.76, 5 Sm 3.51-3.84, 1 Tb 3.74
6 La 0.7064 0.7064 0.8754  1 La 3.27
7 La 0.7074 0.7074 0.2193  1 Tb 3.13, 1 La 3.27, 2 Sm 3.31-3.37
8 Tb 0.5000 0.5000 0.0000  4 La 3.07-3.13
9 Sm 0.0730 0.0730 0.6991  4 La 3.37-3.72, 2 Sm 3.47-3.76
10 Sm 0.1724 0.1724 0.3942  7 La 3.31-3.66
11 Sm 0.8276 0.8276 0.6058  7 La 3.31-3.66
12 Sm 0.9270 0.9270 0.3009  4 La 3.37-3.72, 2 Sm 3.47-3.76

#B
Density functional theory data (PBE-GGA) for an optimized crystal structure of La7TbSm4.

Summary:
Total magnetic moment, μB per cell: 0.0
Mass density, g/cm3: 6.7

Cell lengths 6.4517, 7.4295, 9.1762 Å; angles 90.12, 103.54, 90.00 degrees
With the nearest neighbours (Å) after each atom.
Positions (direct):
1 La 0.0000 0.0000 0.0000  4 Sm 3.63-3.67, 6 La 3.66-3.73, 2 Tb 3.71
2 La 0.2217 0.4994 0.6674  6 La 3.65-3.73, 1 Tb 3.66, 5 Sm 3.70-3.74
3 La 0.2789 0.7506 0.3323  1 Tb 3.66, 5 La 3.66-3.73, 6 Sm 3.67-3.73
4 La 0.5000 0.2509 0.0011  3 Sm 3.64-3.67, 7 La 3.65-3.73, 2 Tb 3.72
5 La 0.5000 0.7491 0.9989  3 Sm 3.64-3.67, 7 La 3.65-3.73, 2 Tb 3.72
6 La 0.7211 0.2494 0.6677  1 Tb 3.66, 5 La 3.66-3.73, 6 Sm 3.67-3.73
7 La 0.7783 0.5006 0.3326  6 La 3.65-3.73, 1 Tb 3.66, 5 Sm 3.70-3.74
8 Tb 0.0000 0.5000 0.0000  2 Sm 3.65, 10 La 3.66-3.72
9 Sm 0.2230 0.9999 0.6670  8 La 3.66-3.73, 4 Sm 3.68-3.72
10 Sm 0.2757 0.2487 0.3297  8 La 3.63-3.74, 1 Tb 3.65, 3 Sm 3.69-3.72
11 Sm 0.7243 0.7513 0.6703  8 La 3.63-3.74, 1 Tb 3.65, 3 Sm 3.69-3.72
12 Sm 0.7770 0.0001 0.3330  8 La 3.66-3.73, 4 Sm 3.68-3.72

Relative to the most stable structure, the computed energies are #A 184; #B 0, all in meV per atom.

#A
Density functional theory data (PBE-GGA) for an optimized crystal structure of La8Tb2Sm3.

Summary:
Total magnetic moment, μB per cell: 0.0
Mass density, g/cm3: 6.8

Cell lengths 9.2554, 9.2554, 5.9107 Å; angles 105.27, 105.27, 75.51 degrees
With the nearest neighbours (Å) after each atom.
Positions (direct):
1 La 0.0782 0.0782 0.2317  1 La 2.93, 2 Tb 3.22-3.27
2 La 0.1003 0.5619 0.8313  3 La 3.40-3.77, 2 Tb 3.45-3.74, 2 Sm 3.51-3.64
3 La 0.3414 0.3414 0.3811  1 Tb 3.46, 4 Sm 3.62-3.73, 3 La 3.65-3.77
4 La 0.4381 0.8997 0.1687  3 La 3.40-3.77, 2 Tb 3.45-3.74, 2 Sm 3.51-3.64
5 La 0.5619 0.1003 0.8313  3 La 3.40-3.77, 2 Tb 3.45-3.74, 2 Sm 3.51-3.64
6 La 0.6586 0.6586 0.6189  1 Tb 3.46, 4 Sm 3.62-3.73, 3 La 3.65-3.77
7 La 0.8997 0.4381 0.1687  3 La 3.40-3.77, 2 Tb 3.45-3.74, 2 Sm 3.51-3.64
8 La 0.9218 0.9218 0.7683  1 La 2.93, 2 Tb 3.22-3.27
9 Tb 0.1748 0.1748 0.8070  5 La 3.22-3.46
10 Tb 0.8252 0.8252 0.1930  5 La 3.22-3.46
11 Sm 0.2435 0.7565 0.5000  8 La 3.56-3.91, 2 Tb 3.79
12 Sm 0.5000 0.5000 0.0000  8 La 3.51-3.73
13 Sm 0.7565 0.2435 0.5000  8 La 3.56-3.91, 2 Tb 3.79

#B
Density functional theory data (PBE-GGA) for an optimized crystal structure of La8Tb2Sm3.

Summary:
Total magnetic moment, μB per cell: 0.0
Mass density, g/cm3: 6.8

Cell lengths 6.3394, 8.2598, 9.7406 Å; angles 94.77, 108.32, 104.97 degrees
With the nearest neighbours (Å) after each atom.
Positions (direct):
1 La 0.0755 0.1529 0.3829  4 Sm 3.66-3.70, 7 La 3.67-3.74, 1 Tb 3.68
2 La 0.1541 0.3090 0.7721  3 Tb 3.65-3.67, 3 Sm 3.66-3.68, 6 La 3.68-3.74
3 La 0.3041 0.6137 0.5370  8 La 3.63-3.70, 2 Sm 3.67-3.72, 2 Tb 3.68-3.72
4 La 0.3839 0.7678 0.9234  3 Tb 3.66-3.67, 4 Sm 3.67-3.69, 5 La 3.68-3.72
5 La 0.6161 0.2322 0.0766  3 Tb 3.66-3.67, 4 Sm 3.67-3.69, 5 La 3.68-3.72
6 La 0.6959 0.3863 0.4630  8 La 3.63-3.70, 2 Sm 3.67-3.72, 2 Tb 3.68-3.72
7 La 0.8459 0.6910 0.2279  3 Tb 3.65-3.67, 3 Sm 3.66-3.68, 6 La 3.68-3.74
8 La 0.9245 0.8471 0.6171  4 Sm 3.66-3.70, 7 La 3.67-3.74, 1 Tb 3.68
9 Tb 0.2307 0.4625 0.1533  9 La 3.65-3.72, 1 Tb 3.69, 2 Sm 3.69-3.71
10 Tb 0.7693 0.5375 0.8467  9 La 3.65-3.72, 1 Tb 3.69, 2 Sm 3.69-3.71
11 Sm 0.0000 0.0000 0.0000  8 La 3.66-3.68, 2 Tb 3.71, 2 Sm 3.71
12 Sm 0.4629 0.9223 0.3084  9 La 3.66-3.72, 2 Sm 3.69-3.71, 1 Tb 3.69
13 Sm 0.5371 0.0777 0.6916  9 La 3.66-3.72, 2 Sm 3.69-3.71, 1 Tb 3.69

Relative to the most stable structure, the computed energies are #A 126; #B 0, all in meV per atom.

#A
Density functional theory data (PBE-GGA) for an optimized crystal structure of La2Tb7Sm.

Summary:
Total magnetic moment, μB per cell: 0.0
Mass density, g/cm3: 7.7

Cell lengths 6.2311, 7.1978, 8.0896 Å; angles 77.07, 74.93, 73.64 degrees
With the nearest neighbours (Å) after each atom.
Positions (direct):
1 La 0.2011 0.2971 0.1021  10 Tb 3.58-3.64, 1 Sm 3.61, 1 La 3.66
2 La 0.7989 0.7029 0.8979  10 Tb 3.58-3.64, 1 Sm 3.61, 1 La 3.66
3 Tb 0.0000 0.0000 0.5000  8 Tb 3.58-3.60, 2 La 3.58, 2 Sm 3.60
4 Tb 0.1991 0.7999 0.1019  4 La 3.58-3.62, 1 Sm 3.59, 7 Tb 3.59-3.64
5 Tb 0.3986 0.1009 0.6968  9 Tb 3.57-3.63, 1 Sm 3.60, 2 La 3.62-3.64
6 Tb 0.3990 0.6011 0.6977  7 Tb 3.57-3.64, 2 Sm 3.59-3.60, 3 La 3.60-3.64
7 Tb 0.6010 0.3989 0.3023  7 Tb 3.57-3.64, 2 Sm 3.59-3.60, 3 La 3.60-3.64
8 Tb 0.6014 0.8991 0.3032  9 Tb 3.57-3.63, 1 Sm 3.60, 2 La 3.62-3.64
9 Tb 0.8009 0.2001 0.8981  4 La 3.58-3.62, 1 Sm 3.59, 7 Tb 3.59-3.64
10 Sm 0.0000 0.5000 0.5000  10 Tb 3.59-3.60, 2 La 3.61

#B
Density functional theory data (PBE-GGA) for an optimized crystal structure of La2Tb7Sm.

Summary:
Total magnetic moment, μB per cell: 0.0
Mass density, g/cm3: 7.5

Cell lengths 14.9519, 14.9519, 3.5146 Å; angles 90.00, 90.00, 154.40 degrees
With the nearest neighbours (Å) after each atom.
Positions (direct):
1 La 0.2052 0.7948 0.0000  2 La 3.51, 8 Tb 3.55-3.80
2 La 0.7948 0.2052 0.0000  2 La 3.51, 8 Tb 3.55-3.80
3 Tb 0.0000 0.0000 0.0000  6 Tb 3.31-3.51
4 Tb 0.1564 0.3522 0.0000  7 Tb 3.26-3.51, 1 La 3.55
5 Tb 0.3149 0.6851 0.5000  6 Tb 3.49-3.51, 6 La 3.65-3.80
6 Tb 0.3522 0.1564 0.0000  7 Tb 3.26-3.51, 1 La 3.55
7 Tb 0.6478 0.8436 0.0000  7 Tb 3.26-3.51, 1 La 3.55
8 Tb 0.6851 0.3149 0.5000  6 Tb 3.49-3.51, 6 La 3.65-3.80
9 Tb 0.8436 0.6478 0.0000  7 Tb 3.26-3.51, 1 La 3.55
10 Sm 0.5000 0.5000 0.5000  2 Sm 3.51, 12 Tb 3.73-3.75

Relative to the most stable structure, the computed energies are #A 0; #B 137, all in meV per atom.